[1]
4
Lattice="-3.725 1.425 2.721 -3.971 -2.732 0.278 -1.037 -2.343 4.092" Properties=species:S:1:pos:R:3 comment="GdNpTcIr | Alexandria via LeMat-Bulk | GGA-PBE | relaxed" sg="No. 216" formation_energy_ev_per_atom=-0.158 pbc="T T T"
Gd -2.183 -0.912 1.773
Np -6.550 -2.737 5.318
Ir 0.000 0.000 0.000
Tc -4.366 -1.825 3.545

***

[2]
4
Lattice="3.791 0.000 0.000 0.000 3.788 0.000 0.000 0.000 3.478" Properties=species:S:1:pos:R:3 comment="BeCdNi2 | Alexandria via LeMat-Bulk | GGA-PBE | relaxed" sg="No. 123" formation_energy_ev_per_atom=0.065 pbc="T T T"
Be 1.896 0.000 1.739
Ni 1.896 1.894 0.000
Ni 0.000 0.000 0.000
Cd 0.000 1.894 1.739

***

[3]
6
Lattice="0.000 3.828 3.828 3.828 0.000 3.828 3.828 3.828 0.000" Properties=species:S:1:pos:R:3 comment="BaScRh4 | Alexandria via LeMat-Bulk | GGA-PBE | relaxed" sg="No. 216" formation_energy_ev_per_atom=-0.259 pbc="T T T"
Rh 2.878 2.878 2.878
Rh 4.779 2.878 4.779
Rh 4.779 4.779 2.878
Rh 2.878 4.779 4.779
Ba 0.000 0.000 0.000
Sc 5.743 5.743 5.743

***

[4]
5
Lattice="4.754 0.000 0.000 0.000 4.754 0.000 0.000 0.000 4.802" Properties=species:S:1:pos:R:3 comment="GeP2HS | Alexandria via LeMat-Bulk | GGA-PBE | relaxed" polymorph_energy_ev_per_atom=0.744 sg="No. 123" pbc="T T T"
P 2.377 0.000 0.000
P 0.000 2.377 0.000
Ge 0.000 0.000 0.000
H 2.377 2.377 2.401
S 0.000 0.000 2.401

***

[5]
9
Lattice="4.143 0.000 0.000 0.000 8.067 0.338 -2.072 -2.891 7.206" Properties=species:S:1:pos:R:3 comment="K2HoAg2Se4 | Alexandria via LeMat-Bulk | GGA-PBE | relaxed" sg="No. 12" raw_formation_energy_ev_per_atom=-1.0137 pbc="T T T"
K 2.072 1.365 5.482
K 0.000 3.811 2.063
Ag 2.072 6.885 2.916
Ag 0.000 -1.709 4.628
Ho 0.000 0.000 0.000
Se 2.072 4.700 4.639
Se 0.000 -0.887 7.146
Se 2.072 6.063 0.398
Se 0.000 0.476 2.905

***

[6]
5
Lattice="-4.914 0.191 -1.316 -0.635 -4.763 1.680 -1.168 1.786 4.622" Properties=species:S:1:pos:R:3 comment="RbCdW3 | Alexandria via LeMat-Bulk | GGA-PBE | relaxed" polymorph_energy_ev_per_atom=0.000 sg="No. 221" formation_energy_ev_per_atom=3.257 pbc="T T T"
W -0.584 0.893 2.311
W -2.457 0.096 -0.658
W -0.318 -2.382 0.840
Cd 0.000 0.000 0.000
Rb -3.359 -1.393 2.493

***

[7]
4
Lattice="-1.819 -4.028 0.105 2.459 -1.082 1.084 -1.078 0.636 5.728" Properties=species:S:1:pos:R:3 comment="YMo2W | Alexandria via LeMat-Bulk | GGA-PBE | relaxed" polymorph_energy_ev_per_atom=0.118 sg="No. 10" formation_energy_ev_per_atom=0.387 pbc="T T T"
Mo 0.696 -0.231 3.192
Mo -0.006 0.008 0.214
Y 0.126 -2.349 5.161
W -0.564 -2.126 1.755

***

[8]
3
Lattice="3.279 0.000 0.000 -1.639 2.839 0.000 0.000 0.000 6.953" Properties=species:S:1:pos:R:3 comment="TaHgSe | Alexandria via LeMat-Bulk | GGA-PBE | relaxed" polymorph_energy_ev_per_atom=0.000 sg="No. 156" raw_formation_energy_ev_per_atom=-0.1343 pbc="T T T"
Hg 0.000 0.000 6.753
Se 1.639 0.946 2.712
Ta 0.000 1.893 4.442

***

[9]
4
Lattice="5.848 -0.001 -0.002 3.369 4.780 0.002 -4.029 -3.508 2.380" Properties=species:S:1:pos:R:3 comment="CaCuRe2 | Alexandria via LeMat-Bulk | GGA-PBE | relaxed" polymorph_energy_ev_per_atom=0.154 sg="No. 71" formation_energy_ev_per_atom=0.437 pbc="T T T"
Cu 1.975 1.831 1.191
Re 0.277 0.144 0.000
Re 4.331 2.246 0.000
Ca 3.214 -0.560 1.189

***

[10]
20
Lattice="-0.929 3.025 4.798 -2.702 -7.588 4.260 8.779 2.437 0.164" Properties=species:S:1:pos:R:3 comment="Hf7Ir3 | Alexandria via LeMat-Bulk | GGA-PBE | relaxed" sg="No. 186" formation_energy_ev_per_atom=-0.618 pbc="T T T"
Hf 1.027 -3.930 3.396
Hf 6.764 -0.847 2.782
Hf 4.385 1.170 1.050
Hf 3.231 -1.985 8.258
Hf 4.390 0.924 4.430
Hf -0.411 1.102 5.606
Hf -1.406 -1.967 5.349
Hf -2.031 -3.446 8.160
Hf 5.229 -2.159 5.312
Hf 6.849 2.389 2.759
Hf 3.326 -1.801 2.718
Hf 2.032 -1.013 5.413
Hf 0.974 -3.984 7.081
Hf 1.587 0.929 2.660
Ir 5.783 3.164 5.125
Ir 2.018 2.119 5.054
Ir 2.904 -3.511 5.333
Ir 4.624 -0.090 6.952
Ir 0.297 -1.301 3.435
Ir -0.862 -4.556 5.263

***

[11]
16
Lattice="-7.745 -4.234 0.524 4.238 -7.508 1.967 -0.497 1.974 8.605" Properties=species:S:1:pos:R:3 comment="CsC | Alexandria via LeMat-Bulk | GGA-PBE | relaxed" polymorph_energy_ev_per_atom=0.531 sg="No. 217" formation_energy_ev_per_atom=0.840 pbc="T T T"
Cs 0.313 -5.146 7.573
Cs -1.195 -2.916 3.312
Cs -5.430 -4.496 2.549
Cs 1.723 -6.450 3.410
Cs -1.103 -0.790 7.373
Cs -3.197 -7.800 8.860
Cs -4.517 -3.827 6.991
Cs -2.609 -7.648 4.316
C -2.253 -5.497 6.245
C -7.458 -2.590 8.680
C -1.813 -4.023 5.932
C 3.020 -5.452 9.941
C -2.723 -4.803 4.917
C -0.251 -0.613 0.697
C -3.318 -10.881 2.875
C -1.218 -5.214 5.098

***

[12]
12
Lattice="6.181 0.001 0.007 -3.088 5.354 0.007 -1.040 -1.802 11.633" Properties=species:S:1:pos:R:3 comment="Tb6Nd2SmTm3 | Alexandria via LeMat-Bulk | GGA-PBE | relaxed" sg="No. 12" formation_energy_ev_per_atom=0.019 pbc="T T T"
Tb 3.082 1.771 8.677
Tb 2.062 3.570 2.978
Tb -0.006 3.554 8.677
Tb 2.058 -0.001 2.969
Tb -1.029 1.782 2.969
Tb -0.010 -0.017 8.669
Tm -2.064 3.562 5.823
Tm 4.117 -0.008 5.823
Tm 1.026 1.777 5.823
Nd 0.002 3.569 0.007
Nd 3.091 1.785 0.007
Sm 0.000 0.000 0.000

***

no.,total energy (eV per atom)
1,-11.72
2,-3.99
3,-6.54
4,-3.22
5,-3.95
6,-4.89
7,-9.88
8,-5.35
9,-7.31
10,-10.24
11,-4.20
12,-4.60